Entry from the Alexandria database: a PBEsol-optimized structure of ZrTeIr2 (meta-GGA SCAN).

D(E_F): 2.257 states/eV per cell
space group: Immm, No. 71
total magnetization: 0.0 μB/f.u.
raw formation energy: -0.3702 eV/atom

The structure in CIF format:
```
data_ZrTeIr2
_cell_length_a 3.954
_cell_length_b 4.223
_cell_length_c 5.042
_cell_angle_alpha 114.76
_cell_angle_beta 113.08
_cell_angle_gamma 90.00
_symmetry_space_group_name_H-M 'P 1'
_symmetry_Int_Tables_number 1
loop_
_symmetry_equiv_pos_as_xyz
'x,y,z'
loop_
_atom_site_label
_atom_site_type_symbol
_atom_site_fract_x
_atom_site_fract_y
_atom_site_fract_z
Zr1 Zr 0.000 0.500 0.000
Ir1 Ir 0.243 0.243 0.485
Te1 Te 0.500 0.000 0.000
Ir2 Ir 0.757 0.757 0.515
```